Record 1
Compound: YTmCd
Source: the Alexandria database
Functional: PBE
Structure: optimized geometry

The structure in extended XYZ format:
```
3
Lattice="5.231 0.000 0.000 -2.615 4.530 0.000 0.000 0.000 3.541" Properties=species:S:1:pos:R:3 pbc="T T T"
Y 0.000 0.000 0.000
Tm 0.000 3.020 1.959
Cd 2.615 1.510 1.141
```

## Properties
- E_form: -80 meV/atom
- E_tot: -4.031 eV per atom
- Symmetry: P3m1, No. 156
- V: 27.970 Å³/atom
- Excess energy over the best structure of this formula in the dataset: 121.0 meV/atom

Record 2
Compound: CaPBr
Source: the Alexandria database
Functional: PBE
Structure: optimized geometry

The structure in extended XYZ format:
```
3
Lattice="0.000 3.499 3.499 3.499 0.000 3.499 3.499 3.499 0.000" Properties=species:S:1:pos:R:3 pbc="T T T"
Ca 0.000 0.000 0.000
P 5.249 5.249 5.249
Br 3.499 3.499 3.499
```

## Properties
- E_tot: -3.269 eV per atom
- Symmetry: F-43m, No. 216
- V: 28.568 Å³/atom
- Uncorrected formation energy: -0.241 eV/atom
- Excess energy over the best structure of this formula in the dataset: 1042.6 meV/atom

Record 3
Compound: Zn4Cd9Au11
Source: the Alexandria database
Functional: PBE
Structure: optimized geometry

The structure in extended XYZ format:
```
24
Lattice="7.330 -10.176 0.000 7.330 10.176 0.000 0.000 0.000 3.008" Properties=species:S:1:pos:R:3 pbc="T T T"
Zn 2.217 2.029 0.000
Zn 2.217 -2.029 0.000
Zn 12.443 2.029 0.000
Zn 12.443 -2.029 0.000
Cd 0.000 0.000 0.000
Cd 5.796 5.268 0.000
Cd 5.340 1.596 0.000
Cd 8.864 5.268 0.000
Cd 5.340 -1.596 0.000
Cd 9.321 1.596 0.000
Cd 5.796 -5.268 0.000
Cd 9.321 -1.596 0.000
Cd 8.864 -5.268 0.000
Au 3.815 3.627 1.504
Au 7.330 7.538 1.504
Au 3.164 0.000 1.504
Au 7.330 3.223 1.504
Au 3.815 -3.627 1.504
Au 7.330 0.000 1.504
Au 10.845 3.627 1.504
Au 7.330 -3.223 1.504
Au 11.496 0.000 1.504
Au 7.330 -7.538 1.504
Au 10.845 -3.627 1.504
```

## Properties
- E_form: -165 meV/atom
- E_tot: -2.223 eV per atom
- Symmetry: Cmmm, No. 65
- V: 18.696 Å³/atom

Record 4
Compound: AlCrPd3
Source: the Alexandria database
Functional: PBE
Structure: optimized geometry

The structure in extended XYZ format:
```
5
Lattice="4.541 0.000 0.000 0.000 4.541 0.000 0.000 0.000 4.541" Properties=species:S:1:pos:R:3 pbc="T T T"
Al 0.000 0.000 0.000
Cr 2.271 2.271 2.271
Pd 0.000 0.000 2.271
Pd 0.000 2.271 0.000
Pd 2.271 0.000 0.000
```

## Properties
- E_form: 276 meV/atom
- E_tot: -5.513 eV per atom
- Symmetry: Pm-3m, No. 221
- V: 18.728 Å³/atom
- Excess energy over the best structure of this formula in the dataset: 0.0 meV/atom

> What is the formula in the third record?

Zn4Cd9Au11